! PBE HgP, relaxed; values from VASP
&SYSTEM
  ibrav = 0, nat = 4, ntyp = 2
/
ATOMIC_SPECIES
Hg 200.59 Hg.upf
P 30.97 P.upf
ATOMIC_POSITIONS crystal
Hg 0.1131 0.2701 0.3547
Hg 0.8869 0.7299 0.6453
P 0.3144 0.8673 0.0729
P 0.6856 0.1327 0.9271
CELL_PARAMETERS angstrom
3.2587 0.0000 0.0000
1.6016 3.8259 0.0000
0.0449 0.3322 7.5378
! ΔH_f (0 K), eV per atom: 0.0921
! Total energy, eV/atom: -2.76
! Relative energy among the computed polymorphs, meV per atom: 62.9